(1)
Computed, not measured: a relaxed structure of Ti2Pt6Au at the PBE level of DFT.

As for the formation energy: -0.51 eV per atom. The volume is 15.930 Å³ per atom.

It has space group Amm2 (No. 38), with a = 2.803 Å, b = 13.366 Å, c = 7.655 Å, α = 90.00°, β = 90.00° and γ = 90.00°. The asymmetric unit holds Ti at (0.000, 0.157, 0.000), Pt at (0.000, 0.000, 0.547), Pt at (0.000, 0.170, 0.348), Pt at (0.500, 0.000, 0.857), Pt at (0.500, 0.181, 0.670) and Au at (0.500, 0.000, 0.210).

(2)
Computed, not measured: a relaxed structure of Pb2AuO2 at the PBE level of DFT.

The calculation puts the energy above the most stable polymorph in this dataset at 0 meV/atom. The volume is 21.635 Å³ per atom.

It has space group I4/mmm (No. 139), with a = 5.223 Å, b = 5.223 Å, c = 7.930 Å, α = 90.00°, β = 90.00° and γ = 90.00°. The asymmetric unit holds Pb at (0.000, 0.500, 0.250), Au at (0.000, 0.000, 0.000) and O at (0.000, 0.000, 0.260).

(3)
Computed, not measured: a relaxed structure of V5CrFe2W2 at the PBE level of DFT.

As for the formation energy: 0.11 eV per atom. The volume is 13.378 Å³ per atom.

It has space group P4/mbm (No. 127), with a = 9.362 Å, b = 9.362 Å, c = 3.052 Å, α = 90.00°, β = 90.00° and γ = 90.00°. The asymmetric unit holds V at (0.000, 0.500, 0.000), V at (0.058, 0.200, 0.000), Cr at (0.000, 0.000, 0.500), Fe at (0.130, 0.370, 0.500) and W at (0.175, 0.675, 0.500).

(4)
Computed, not measured: a relaxed structure of BaNaHfAu at the PBE level of DFT.

The calculation puts the energy above the most stable polymorph in this dataset at 74 meV/atom. As for the formation energy: 0.08 eV per atom. The volume is 35.137 Å³ per atom.

It has space group P1 (No. 1), with a = 3.988 Å, b = 4.898 Å, c = 8.257 Å, α = 97.47°, β = 102.14° and γ = 113.41°. The asymmetric unit holds Ba at (0.000, 0.000, 0.000), Na at (0.594, 0.713, 0.392), Hf at (0.468, 0.232, 0.659) and Au at (0.175, 0.639, 0.674).

(5)
Computed, not measured: a relaxed structure of Co5NiGe4 at the PBE level of DFT.

As for the formation energy: -0.05 eV per atom. The volume is 13.022 Å³ per atom.

It has space group Immm (No. 71), with a = 3.893 Å, b = 7.840 Å, c = 8.533 Å, α = 90.00°, β = 90.00° and γ = 90.00°. The asymmetric unit holds Co at (0.000, 0.000, 0.000), Co at (0.000, 0.163, 0.238), Ni at (0.000, 0.000, 0.500), Ge at (0.000, 0.314, 0.500) and Ge at (0.000, 0.500, 0.170).

(6)
Computed, not measured: a relaxed structure of MnNb2B at the PBE level of DFT.

As for the formation energy: -0.06 eV per atom. The volume is 14.280 Å³ per atom.

It has space group R-3m (No. 166, hexagonal axes), with a = 3.1431 Å, b = 3.1431 Å, c = 20.0290 Å, α = 90.00°, β = 90.00° and γ = 120.00°. The asymmetric unit holds Mn at (0.0000, 0.0000, 0.0000), Nb at (0.0000, 0.0000, 0.2338) and B at (0.0000, 0.0000, 0.5000).